Material: CoSF3
Method: DFT, GGA+U
State: optimized geometry

Cell and atoms, written as POSCAR:
```
CoSF3
1.0
-2.962 2.675 -0.447
-1.123 -1.812 -3.404
-2.469 -2.386 2.084
Co S F
1 1 3
Direct
0.000 0.000 0.000
0.500 0.500 0.500
0.000 0.500 0.000
0.000 0.000 0.500
0.500 0.000 0.000
```

Properties
calculated total energy = -3.6388 eV per atom